# ZrAlCoAu (PBE-GGA, relaxed)
# total magnetization: 0.6 μB/f.u.
# electronic total energy: -5.856 eV per atom
# relative energy among the computed polymorphs: 0.78 eV/f.u.
data_ZrAlCoAu
_symmetry_space_group_name_H-M 'F -4 3 m'
_symmetry_Int_Tables_number 216
_symmetry_space_group_name_Hall 'F -4 2 3'
_cell_length_a 6.396
_cell_length_b 6.396
_cell_length_c 6.396
_cell_angle_alpha 90.00
_cell_angle_beta 90.00
_cell_angle_gamma 90.00
loop_
_atom_site_label
_atom_site_fract_x
_atom_site_fract_y
_atom_site_fract_z
_atom_site_occupancy
Zr1 0.000 0.000 0.000 1
Al1 0.250 0.250 0.250 1
Co1 0.000 0.000 0.500 1
Au1 0.250 0.250 0.750 1